Below is a geometry-optimized Rb3MnPb2F9 structure, with properties calculated at the GGA+U level.

Cell lengths 6.594, 6.594, 8.083 Å; angles 90.00, 90.00, 120.00 degrees
Fractional coordinates of all 15 atoms:
F 0.500 0.500 0.000
F 0.846 0.693 0.652
F 0.307 0.154 0.652
F 0.500 0.000 0.000
F 0.846 0.154 0.652
F 0.154 0.846 0.348
F 0.154 0.307 0.348
F 0.000 0.500 0.000
F 0.693 0.846 0.348
Rb 0.333 0.667 0.662
Rb 0.000 0.000 0.000
Rb 0.667 0.333 0.338
Pb 0.333 0.667 0.183
Pb 0.667 0.333 0.817
Mn 0.000 0.000 0.500

Values from the calculation:
Density of states at the Fermi level: 0.00 states/eV/f.u.
Magnetization: 5.0 μB per cell
Uncorrected energy: -73.4 eV for the cell shown
Space group: P-3m1